# In5Sb3S12 | Alexandria via LeMat-Bulk | PBE | relaxed
# DOS(E_F)	0.00	states/eV/cell
# formation energy without anion corrections	-0.320	eV/atom
data_In5Sb3S12
_symmetry_space_group_name_H-M 'I a -3 d'
_symmetry_Int_Tables_number 230
_symmetry_space_group_name_Hall '-I 4bd 2c 3'
_cell_length_a 15.780
_cell_length_b 15.780
_cell_length_c 15.780
_cell_angle_alpha 90.00
_cell_angle_beta 90.00
_cell_angle_gamma 90.00
loop_
_atom_site_label
_atom_site_fract_x
_atom_site_fract_y
_atom_site_fract_z
In1 0.000 0.000 0.000
In2 0.000 0.250 0.375
Sb1 0.000 0.250 0.125
S1 0.022 0.065 0.652